A relaxed Th2Mn15Fe2 crystal. Source: Alexandria, functional PBE-GGA.

Results
Magnetization, μB/cell: 37.314
Calculated volume, A^3/atom: 13.41
Formation energy from the elements, eV/atom: 0.020

a b c (Å): 8.7064 8.7064 11.6478
angles (deg): 90.00 90.00 120.00
With the nearest neighbours (Å) after each atom.
Space group R-3m (No. 166, hexagonal axes)
Symmetry-distinct sites (fractional):
1 Th 0.0000 0.0000 0.1476  1 Fe 2.90, 12 Mn 2.96-3.24
2 Mn 0.0000 0.2668 0.5000  8 Mn 2.32-2.59
3 Mn 0.0000 0.5000 0.0000  8 Mn 2.32-2.49
4 Mn 0.0139 0.5069 0.3626  8 Mn 2.49-2.71, 1 Fe 2.64
5 Fe 0.0000 0.0000 0.3964  1 Fe 2.41, 12 Mn 2.62-2.64